The following is a PBE calculation of a geometry-optimized Fe2Cl13 structure, from Alexandria via LeMat-Bulk.

Properties
The total magnetization is 8.85 μB/f.u. As for the total energy: -3.084 eV/atom. The density of states at the Fermi level is 6.011 states/eV per cell.

Unit cell a=8.287 b=9.197 c=9.717 alpha=74.62 beta=65.43 gamma=64.35
Element x y z (fractional)
Fe (0.387, 0.392, 0.384)
Fe (0.613, 0.608, 0.616)
Cl (0.500, 0.500, 0.500)
Cl (0.234, 0.595, 0.259)
Cl (0.232, 0.260, 0.565)
Cl (0.616, 0.226, 0.229)
Cl (0.384, 0.774, 0.771)
Cl (0.766, 0.405, 0.741)
Cl (0.768, 0.740, 0.435)
Cl (0.906, 0.678, 0.011)
Cl (0.930, 0.974, 0.610)
Cl (0.715, 0.888, 0.956)
Cl (0.285, 0.112, 0.044)
Cl (0.094, 0.322, 0.989)
Cl (0.070, 0.026, 0.390)

---

The following is a PBE calculation of a geometry-optimized Na2LaThSe4 structure, from Alexandria via LeMat-Bulk.

Properties
The total magnetization is 0.00 μB/f.u. As for the total energy: -5.222 eV/atom. The density of states at the Fermi level is 4.271 states/eV per cell.

Unit cell a=4.260 b=7.420 c=7.488 alpha=109.11 beta=90.00 gamma=90.00
Element x y z (fractional)
Na (0.500, 0.000, 0.500)
Na (0.000, 0.500, 0.500)
La (0.500, 0.500, 0.000)
Th (0.000, 0.000, 0.000)
Se (0.500, 0.241, 0.241)
Se (0.500, 0.759, 0.759)
Se (0.000, 0.244, 0.758)
Se (0.000, 0.756, 0.242)

---

The following is a PBE calculation of a geometry-optimized Nd3GaSe structure, from Alexandria via LeMat-Bulk.

Properties
The total magnetization is 0.00 μB/f.u. As for the total energy: -5.079 eV/atom. The density of states at the Fermi level is 22.794 states/eV per cell.

Unit cell a=4.122 b=8.880 c=15.982 alpha=90.00 beta=90.00 gamma=90.00
Element x y z (fractional)
Nd (0.250, 0.350, 0.553)
Nd (0.750, 0.842, 0.211)
Nd (0.750, 0.513, 0.890)
Nd (0.750, 0.013, 0.610)
Nd (0.750, 0.650, 0.447)
Nd (0.250, 0.987, 0.390)
Nd (0.250, 0.850, 0.947)
Nd (0.750, 0.342, 0.289)
Nd (0.250, 0.658, 0.711)
Nd (0.250, 0.158, 0.789)
Nd (0.750, 0.150, 0.053)
Nd (0.250, 0.487, 0.110)
Ga (0.750, 0.871, 0.797)
Ga (0.250, 0.129, 0.203)
Ga (0.750, 0.371, 0.703)
Ga (0.250, 0.629, 0.297)
Se (0.250, 0.302, 0.953)
Se (0.250, 0.802, 0.547)
Se (0.750, 0.198, 0.453)
Se (0.750, 0.698, 0.047)

---

What did the third record say?
The following is a PBE calculation of a geometry-optimized Nd3GaSe structure, from Alexandria via LeMat-Bulk.

Properties
The total magnetization is 0.00 μB/f.u. As for the total energy: -5.079 eV/atom. The density of states at the Fermi level is 22.794 states/eV per cell.

Unit cell a=4.122 b=8.880 c=15.982 alpha=90.00 beta=90.00 gamma=90.00
Element x y z (fractional)
Nd (0.250, 0.350, 0.553)
Nd (0.750, 0.842, 0.211)
Nd (0.750, 0.513, 0.890)
Nd (0.750, 0.013, 0.610)
Nd (0.750, 0.650, 0.447)
Nd (0.250, 0.987, 0.390)
Nd (0.250, 0.850, 0.947)
Nd (0.750, 0.342, 0.289)
Nd (0.250, 0.658, 0.711)
Nd (0.250, 0.158, 0.789)
Nd (0.750, 0.150, 0.053)
Nd (0.250, 0.487, 0.110)
Ga (0.750, 0.871, 0.797)
Ga (0.250, 0.129, 0.203)
Ga (0.750, 0.371, 0.703)
Ga (0.250, 0.629, 0.297)
Se (0.250, 0.302, 0.953)
Se (0.250, 0.802, 0.547)
Se (0.750, 0.198, 0.453)
Se (0.750, 0.698, 0.047)